Entry 1:
A relaxed structure of Tb4NdErSe8. Source: the Alexandria database, functional GGA-PBE.

abc: 8.4683 8.4683 8.4683
angles: 60.16 60.16 60.16
Fractional positions:
Tb (0.0000, 0.0000, 0.0000)
Tb (0.3750, 0.3750, 0.8779)
Tb (0.3750, 0.8779, 0.3750)
Tb (0.8779, 0.3750, 0.3750)
Nd (0.7514, 0.7514, 0.7514)
Er (0.3753, 0.3753, 0.3753)
Se (0.1323, 0.1323, 0.1323)
Se (0.1357, 0.1357, 0.6026)
Se (0.1357, 0.6026, 0.1357)
Se (0.1583, 0.6130, 0.6130)
Se (0.6026, 0.1357, 0.1357)
Se (0.6130, 0.1583, 0.6130)
Se (0.6130, 0.6130, 0.1583)
Se (0.6159, 0.6159, 0.6159)

Results
**Calculated total energy**: -5.698 eV/atom
**Space group**: R3m
**Volume**: 30.78 A^3/atom
**Size of the total moment**: 0.00 μB per formula unit

Entry 2:
A relaxed structure of SrLi15Cd4. Source: the Alexandria database, functional GGA-PBE.

abc: 4.8731 4.8731 17.2724
angles: 90.00 90.00 90.00
Fractional positions:
Sr (0.0000, 0.0000, 0.0000)
Li (0.0000, 0.5000, 0.1370)
Li (0.0000, 0.5000, 0.3159)
Li (0.0000, 0.5000, 0.5000)
Li (0.0000, 0.5000, 0.6841)
Li (0.0000, 0.5000, 0.8630)
Li (0.5000, 0.0000, 0.1370)
Li (0.5000, 0.0000, 0.3159)
Li (0.5000, 0.0000, 0.5000)
Li (0.5000, 0.0000, 0.6841)
Li (0.5000, 0.0000, 0.8630)
Li (0.5000, 0.5000, 0.0000)
Li (0.5000, 0.5000, 0.2181)
Li (0.5000, 0.5000, 0.4066)
Li (0.5000, 0.5000, 0.5934)
Li (0.5000, 0.5000, 0.7819)
Cd (0.0000, 0.0000, 0.2250)
Cd (0.0000, 0.0000, 0.4087)
Cd (0.0000, 0.0000, 0.5913)
Cd (0.0000, 0.0000, 0.7750)

Results
**Calculated total energy**: -1.815 eV/atom
**Space group**: P4/mmm
**Volume**: 20.51 A^3/atom
**Size of the total moment**: 0.00 μB per formula unit

Entry 3:
A relaxed structure of TaSiCl2. Source: the Alexandria database, functional GGA-PBE.

abc: 3.3119 3.3119 9.7793
angles: 90.00 90.00 126.34
Fractional positions:
Ta (0.0000, 0.0000, 0.0000)
Si (0.5000, 0.5000, 0.2145)
Cl (0.0000, 0.0000, 0.4051)
Cl (0.5000, 0.5000, 0.7981)

Results
**Energy relative to the lowest polymorph listed for this composition**: 0.322 eV/atom
**Space group**: Cmm2
**Volume**: 21.60 A^3/atom
**Size of the total moment**: 0.00 μB per formula unit

Entry 4:
A relaxed structure of CsRb2P2S6. Source: the Alexandria database, functional GGA-PBE.

abc: 10.4847 10.4847 10.4847
angles: 39.60 39.60 39.60
Fractional positions:
Cs (0.0000, 0.0000, 0.0000)
Rb (0.2071, 0.2071, 0.2071)
Rb (0.7929, 0.7929, 0.7929)
P (0.4248, 0.4248, 0.4248)
P (0.5752, 0.5752, 0.5752)
S (0.2452, 0.7275, 0.7275)
S (0.2725, 0.2725, 0.7548)
S (0.2725, 0.7548, 0.2725)
S (0.7275, 0.2452, 0.7275)
S (0.7275, 0.7275, 0.2452)
S (0.7548, 0.2725, 0.2725)

Results
**Calculated total energy**: -4.195 eV/atom
**Space group**: R-3m
**Volume**: 38.33 A^3/atom
**Size of the total moment**: 0.99 μB per formula unit

Entry 5:
A relaxed structure of NaTaIn2Ga. Source: the Alexandria database, functional GGA-PBE.

abc: 5.4540 5.4540 5.1190
angles: 90.00 90.00 90.00
Fractional positions:
Na (0.0000, 0.0000, 0.0000)
Ta (0.5000, 0.5000, 0.5000)
In (0.0000, 0.5000, 0.5000)
In (0.5000, 0.0000, 0.5000)
Ga (0.5000, 0.5000, 0.0000)

Results
**Calculated total energy**: -3.946 eV/atom
**Space group**: P4/mmm
**Volume**: 30.45 A^3/atom
**Size of the total moment**: 0.00 μB per formula unit

Entry 6:
A relaxed structure of CaTmCuPt. Source: the Alexandria database, functional GGA-PBE.

abc: 4.8966 4.8966 4.8966
angles: 60.00 60.00 60.00
Fractional positions:
Ca (0.0000, 0.0000, 0.0000)
Tm (0.5000, 0.5000, 0.5000)
Cu (0.7500, 0.7500, 0.7500)
Pt (0.2500, 0.2500, 0.2500)

Results
**Energy relative to the lowest polymorph listed for this composition**: 0.059 eV/atom
**Space group**: F-43m
**Volume**: 20.75 A^3/atom
**Size of the total moment**: 0.00 μB per formula unit

Entry 7:
A relaxed structure of Tl3SiTe4. Source: the Alexandria database, functional GGA-PBE.

abc: 7.5014 7.5014 7.5014
angles: 117.29 90.41 122.30
Fractional positions:
Tl (0.0000, 0.0000, 0.0000)
Tl (0.4357, 0.7032, 0.7325)
Tl (0.9707, 0.7032, 0.2675)
Si (0.5793, 0.0793, 0.5000)
Te (0.3918, 0.1647, 0.7729)
Te (0.3918, 0.6190, 0.2271)
Te (0.5377, 0.2471, 0.2907)
Te (0.9564, 0.2471, 0.7093)

Results
**Energy relative to the lowest polymorph listed for this composition**: 0.076 eV/atom
**Space group**: Imm2
**Volume**: 37.33 A^3/atom
**Size of the total moment**: 0.00 μB per formula unit

Entry 8:
A relaxed structure of Sr2ZnCuPd6. Source: the Alexandria database, functional GGA-PBE.

abc: 6.7272 6.7272 6.7272
angles: 60.00 60.00 60.00
Fractional positions:
Sr (0.2500, 0.2500, 0.2500)
Sr (0.7500, 0.7500, 0.7500)
Zn (0.0000, 0.0000, 0.0000)
Cu (0.5000, 0.5000, 0.5000)
Pd (0.2496, 0.2496, 0.7504)
Pd (0.2496, 0.7504, 0.2496)
Pd (0.2496, 0.7504, 0.7504)
Pd (0.7504, 0.2496, 0.2496)
Pd (0.7504, 0.2496, 0.7504)
Pd (0.7504, 0.7504, 0.2496)

Results
**Calculated total energy**: -4.175 eV/atom
**Space group**: Fm-3m
**Volume**: 21.53 A^3/atom
**Size of the total moment**: 0.00 μB per formula unit